Entry one
This record from Alexandria via LeMat-Bulk describes LiCuSi2 after structural relaxation. The functional is GGA-PBEsol.

abc: 3.1443 3.3779 4.8916
angles: 90.00 90.00 90.00
With the nearest neighbours (Å) after each atom.
Space group Pmm2 (No. 25)
One atom of each set of equivalent atoms:
Li 0.0000 0.0000 0.0000 (multiplicity 1)  6 Si 2.44-2.63, 4 Cu 2.60
Cu 0.5000 0.5000 0.7532 (multiplicity 1)  6 Si 2.42-2.62, 4 Li 2.60
Si 0.0000 0.0000 0.4983 (multiplicity 1)  2 Li 2.44-2.45, 4 Si 2.59, 4 Cu 2.62
Si 0.5000 0.5000 0.2592 (multiplicity 1)  2 Cu 2.42-2.47, 4 Si 2.59, 4 Li 2.63

## Properties
As for the crystal system: orthorhombic. The density comes out at 4.0 g/cm³.

---

Entry two
This record from Alexandria via LeMat-Bulk describes LiCuSi2 after structural relaxation. The functional is GGA-PBEsol.

abc: 5.9561 5.9561 5.9561
angles: 90.00 90.00 90.00
With the nearest neighbours (Å) after each atom.
Space group Fm-3m (No. 225)
One atom of each set of equivalent atoms:
Li 0.0000 0.0000 0.0000 (multiplicity 4)  8 Si 2.58
Cu 0.0000 0.0000 0.5000 (multiplicity 4)  8 Si 2.58
Si 0.2500 0.2500 0.2500 (multiplicity 8)  4 Li 2.58, 4 Cu 2.58

## Properties
As for the crystal system: cubic. The density comes out at 4.0 g/cm³.

---

Entry three
This record from Alexandria via LeMat-Bulk describes LiCuSi2 after structural relaxation. The functional is GGA-PBEsol.

abc: 3.6817 3.6817 7.5139
angles: 90.00 90.00 90.00
With the nearest neighbours (Å) after each atom.
Space group I4/mmm (No. 139)
One atom of each set of equivalent atoms:
Li 0.0000 0.0000 0.0000 (multiplicity 2)  4 Cu 2.60, 8 Si 2.63
Cu 0.0000 0.0000 0.5000 (multiplicity 2)  4 Li 2.60, 8 Si 2.63
Si 0.0000 0.5000 0.2500 (multiplicity 4)  4 Si 2.60, 4 Li 2.63, 4 Cu 2.63

## Properties
As for the crystal system: tetragonal. The density comes out at 4.1 g/cm³.

---

Entry four
This record from Alexandria via LeMat-Bulk describes LiCuSi2 after structural relaxation. The functional is GGA-PBEsol.

abc: 2.6645 4.0106 5.0456
angles: 90.00 90.00 90.00
With the nearest neighbours (Å) after each atom.
Space group Pmmm (No. 47)
One atom of each set of equivalent atoms:
Li 0.0000 0.0000 0.0000 (multiplicity 1)  2 Li 2.66, 8 Si 2.71, 4 Cu 2.85
Cu 0.5000 0.0000 0.5000 (multiplicity 1)  4 Si 2.38, 2 Cu 2.66
Si 0.5000 0.5000 0.2445 (multiplicity 2)  2 Cu 2.38, 4 Si 2.47-2.66

## Properties
As for the crystal system: orthorhombic. The density comes out at 3.9 g/cm³.

---

Short version: entry two is the least stable of them.